A geometry-optimized TiMnBeV structure, computed with PBE.

Properties
Crystal system ... tetragonal
Energy of formation from the pure elements ... -0.205 eV/atom

a b c (Å): 2.922 2.922 5.690
angles (deg): 90.00 90.00 90.00
Fractional positions:
Ti  0.000  0.000  0.000
Mn  0.500  0.500  0.268
Be  0.500  0.500  0.732
V  0.000  0.000  0.502